Entry 1:
# CaPrI5, optimized geometry, DFT GGA-PBE
data_CaPrI5
_chemical_formula_sum 'Ca2 Pr2 I10'
_cell_length_a 9.4693
_cell_length_b 4.4820
_cell_length_c 15.1950
_cell_angle_alpha 90.00
_cell_angle_beta 95.23
_cell_angle_gamma 90.00
_symmetry_space_group_name_H-M 'P 1 21/m 1'
_symmetry_Int_Tables_number 11
_symmetry_space_group_name_Hall '-P 2yb'
loop_
_atom_site_label
_atom_site_fract_x
_atom_site_fract_y
_atom_site_fract_z
Ca1 0.0882 0.2500 0.1343
Pr1 0.4102 0.7500 0.3453
I1 0.0754 0.7500 0.3093
I2 0.1368 0.2500 0.9272
I3 0.3209 0.2500 0.4842
I4 0.3412 0.7500 0.1331
I5 0.3797 0.7500 0.7074
# Formation energy from raw total energies   -1.458 eV/atom
# Electronic total energy   -3.5337 eV/atom
# Density of states at the Fermi level   0.00 states/eV per cell
# Size of the total moment   0.0 μB per formula unit


Entry 2:
# GeSbIN2, optimized geometry, DFT GGA-PBE
data_GeSbIN2
_chemical_formula_sum 'Ge1 Sb1 I1 N2'
_cell_length_a 4.1596
_cell_length_b 4.1596
_cell_length_c 5.5140
_cell_angle_alpha 90.00
_cell_angle_beta 90.00
_cell_angle_gamma 90.00
_symmetry_space_group_name_H-M 'P 4/m m m'
_symmetry_Int_Tables_number 123
_symmetry_space_group_name_Hall '-P 4 2'
loop_
_atom_site_label
_atom_site_fract_x
_atom_site_fract_y
_atom_site_fract_z
Ge1 0.0000 0.0000 0.0000
Sb1 0.5000 0.5000 0.5000
I1 0.0000 0.0000 0.5000
N1 0.0000 0.5000 0.0000
# Formation energy from raw total energies   1.497 eV/atom
# Electronic total energy   -3.8908 eV/atom
# Density of states at the Fermi level   2.52 states/eV per cell
# Size of the total moment   1.0 μB per formula unit


Entry 3:
# Si2GeSe, optimized geometry, DFT GGA-PBE
data_Si2GeSe
_chemical_formula_sum 'Si8 Ge4 Se4'
_cell_length_a 6.2675
_cell_length_b 6.2675
_cell_length_c 9.1524
_cell_angle_alpha 90.00
_cell_angle_beta 90.00
_cell_angle_gamma 90.00
_symmetry_space_group_name_H-M 'I -4 2 d'
_symmetry_Int_Tables_number 122
_symmetry_space_group_name_Hall 'I -4 2bw'
loop_
_atom_site_label
_atom_site_fract_x
_atom_site_fract_y
_atom_site_fract_z
Si1 0.2316 0.2500 0.1250
Ge1 0.0000 0.0000 0.0000
Se1 0.0000 0.0000 0.5000
# Formation energy from raw total energies   0.347 eV/atom
# Electronic total energy   -4.3901 eV/atom
# Density of states at the Fermi level   8.53 states/eV per cell
# Size of the total moment   0.0 μB per formula unit


Entry 4:
# BaFeHg3, optimized geometry, DFT GGA-PBE
data_BaFeHg3
_chemical_formula_sum 'Ba1 Fe1 Hg3'
_cell_length_a 6.5628
_cell_length_b 6.5628
_cell_length_c 6.5628
_cell_angle_alpha 90.00
_cell_angle_beta 90.00
_cell_angle_gamma 90.00
_symmetry_space_group_name_H-M 'P m -3 m'
_symmetry_Int_Tables_number 221
_symmetry_space_group_name_Hall '-P 4 2 3'
loop_
_atom_site_label
_atom_site_fract_x
_atom_site_fract_y
_atom_site_fract_z
Ba1 0.0000 0.0000 0.0000
Fe1 0.5000 0.5000 0.5000
Hg1 0.0000 0.0000 0.5000
# Electronic total energy   -1.2884 eV/atom
# Density of states at the Fermi level   6.77 states/eV per cell
# Size of the total moment   3.2 μB per formula unit
# Calculated formation energy   0.97 eV/atom


Entry 5:
# Tm2CuSb, optimized geometry, DFT GGA-PBE
data_Tm2CuSb
_chemical_formula_sum 'Tm2 Cu1 Sb1'
_cell_length_a 4.8854
_cell_length_b 4.8854
_cell_length_c 3.8803
_cell_angle_alpha 90.00
_cell_angle_beta 90.00
_cell_angle_gamma 90.00
_symmetry_space_group_name_H-M 'P 4/m m m'
_symmetry_Int_Tables_number 123
_symmetry_space_group_name_Hall '-P 4 2'
loop_
_atom_site_label
_atom_site_fract_x
_atom_site_fract_y
_atom_site_fract_z
Tm1 0.0000 0.5000 0.0000
Cu1 0.0000 0.0000 0.5000
Sb1 0.5000 0.5000 0.5000
# Formation energy from raw total energies   -0.483 eV/atom
# Electronic total energy   -4.7736 eV/atom
# Density of states at the Fermi level   3.38 states/eV per cell
# Size of the total moment   0.0 μB per formula unit


Entry 6:
# HfMgV2Cd, optimized geometry, DFT GGA-PBE
data_HfMgV2Cd
_chemical_formula_sum 'Hf1 Mg1 V2 Cd1'
_cell_length_a 4.7390
_cell_length_b 4.7390
_cell_length_c 5.0349
_cell_angle_alpha 90.00
_cell_angle_beta 90.00
_cell_angle_gamma 90.00
_symmetry_space_group_name_H-M 'P 4/m m m'
_symmetry_Int_Tables_number 123
_symmetry_space_group_name_Hall '-P 4 2'
loop_
_atom_site_label
_atom_site_fract_x
_atom_site_fract_y
_atom_site_fract_z
Hf1 0.0000 0.0000 0.0000
Mg1 0.0000 0.0000 0.5000
V1 0.0000 0.5000 0.5000
Cd1 0.5000 0.5000 0.0000
# Electronic total energy   -4.6738 eV/atom
# Density of states at the Fermi level   5.28 states/eV per cell
# Size of the total moment   4.4 μB per formula unit
# Calculated formation energy   1.47 eV/atom


Entry 7:
# Sm8NiTe4P3, optimized geometry, DFT GGA-PBE
data_Sm8NiTe4P3
_chemical_formula_sum 'Sm24 Ni3 Te12 P9'
_cell_length_a 8.4354
_cell_length_b 8.4354
_cell_length_c 21.5210
_cell_angle_alpha 90.00
_cell_angle_beta 90.00
_cell_angle_gamma 120.00
_symmetry_space_group_name_H-M 'R -3 m'
_symmetry_Int_Tables_number 166
_symmetry_space_group_name_Hall '-R 3 2"'
loop_
_atom_site_label
_atom_site_fract_x
_atom_site_fract_y
_atom_site_fract_z
Sm1 0.0000 0.0000 0.2374
Sm2 0.0029 0.5015 0.2379
Ni1 0.0000 0.0000 0.5000
Te1 0.0000 0.0000 0.0000
Te2 0.0000 0.5000 0.0000
P1 0.0000 0.5000 0.5000
# Formation energy from raw total energies   -1.357 eV/atom
# Electronic total energy   -5.8781 eV/atom
# Density of states at the Fermi level   30.11 states/eV per cell
# Size of the total moment   0.0 μB per formula unit


Entry 8:
# TbInSn2, optimized geometry, DFT GGA-PBE
data_TbInSn2
_chemical_formula_sum 'Tb1 In1 Sn2'
_cell_length_a 4.1285
_cell_length_b 4.1285
_cell_length_c 6.3361
_cell_angle_alpha 90.00
_cell_angle_beta 90.00
_cell_angle_gamma 90.00
_symmetry_space_group_name_H-M 'P 4/m m m'
_symmetry_Int_Tables_number 123
_symmetry_space_group_name_Hall '-P 4 2'
loop_
_atom_site_label
_atom_site_fract_x
_atom_site_fract_y
_atom_site_fract_z
Tb1 0.0000 0.0000 0.0000
In1 0.0000 0.0000 0.5000
Sn1 0.5000 0.5000 0.2434
# Electronic total energy   -4.1831 eV/atom
# Density of states at the Fermi level   1.73 states/eV per cell
# Size of the total moment   0.0 μB per formula unit
# Calculated formation energy   -0.34 eV/atom


Question: Look up the density of states at the Fermi level of the seventh one.
Answer: 30.11 states/eV per cell